[1]
A plane-wave DFT calculation with PBE was carried out for LiMgNb2Cr after structural relaxation.

Cell: 4.8334 4.8334 4.4409 Å, 90.00 90.00 90.00°
Positions (direct):
Li1 0.0000 0.0000 0.0000
Mg1 0.5000 0.5000 0.5000
Nb1 0.0000 0.5000 0.5000
Nb2 0.5000 0.0000 0.5000
Cr1 0.5000 0.5000 0.0000

Results
The calculated formation energy comes out at 1.93 eV per atom. As for the space group: P4/mmm (123). The density of states at the Fermi level comes out at 7.83 states/eV/f.u. Its crystal system is tetragonal.

[2]
A plane-wave DFT calculation with PBE was carried out for CaNbSe2Br after structural relaxation.

Cell: 5.4206 5.4206 5.2512 Å, 90.00 90.00 90.00°
Positions (direct):
Ca1 0.0000 0.0000 0.0000
Nb1 0.5000 0.5000 0.5000
Se1 0.0000 0.5000 0.0000
Se2 0.5000 0.0000 0.0000
Br1 0.0000 0.0000 0.5000

Results
As for the space group: P4/mmm (123). The density of states at the Fermi level comes out at 6.50 states/eV/f.u. The raw formation energy is 0.20 eV per atom. Its crystal system is tetragonal.